No. 1
The following is a DFT calculation (SCAN) of a crystal of LiPm2Ga relaxed with PBEsol.

Computed properties:
- energy of formation (eV per atom) = -0.350
- DOS at the Fermi energy (states/eV per atom) = 0.85
- volume (A^3/atom) = 23.98
- size of the total moment (μB per cell) = 0.085

Structure (CIF):
```
data_LiPm2Ga
_cell_length_a 7.266
_cell_length_b 7.266
_cell_length_c 7.266
_cell_angle_alpha 90.00
_cell_angle_beta 90.00
_cell_angle_gamma 90.00
_space_group_name_H-M_alt 'F m -3 m'
_space_group_IT_number 225
_space_group_name_Hall '-F 4 2 3'
loop_
_atom_site_label
_atom_site_type_symbol
_atom_site_fract_x
_atom_site_fract_y
_atom_site_fract_z
_atom_site_occupancy
Li1 Li 0.000 0.000 0.000 1
Pm1 Pm 0.250 0.250 0.250 1
Ga1 Ga 0.000 0.000 0.500 1
```

No. 2
The following is a DFT calculation (SCAN) of a crystal of LiPmGa2 relaxed with PBEsol.

Computed properties:
- energy of formation (eV per atom) = -0.522
- DOS at the Fermi energy (states/eV per atom) = 0.29
- volume (A^3/atom) = 19.89
- size of the total moment (μB per cell) = 0.000

Structure (CIF):
```
data_LiPmGa2
_cell_length_a 6.827
_cell_length_b 6.827
_cell_length_c 6.827
_cell_angle_alpha 90.00
_cell_angle_beta 90.00
_cell_angle_gamma 90.00
_space_group_name_H-M_alt 'F m -3 m'
_space_group_IT_number 225
_space_group_name_Hall '-F 4 2 3'
loop_
_atom_site_label
_atom_site_type_symbol
_atom_site_fract_x
_atom_site_fract_y
_atom_site_fract_z
_atom_site_occupancy
Li1 Li 0.000 0.000 0.000 1
Pm1 Pm 0.000 0.000 0.500 1
Ga1 Ga 0.250 0.250 0.250 1
```

No. 3
The following is a DFT calculation (SCAN) of a crystal of LiPr2Ga relaxed with PBEsol.

Computed properties:
- energy of formation (eV per atom) = -0.341
- DOS at the Fermi energy (states/eV per atom) = 0.81
- volume (A^3/atom) = 25.00
- size of the total moment (μB per cell) = 0.000

Structure (CIF):
```
data_LiPr2Ga
_cell_length_a 7.368
_cell_length_b 7.368
_cell_length_c 7.368
_cell_angle_alpha 90.00
_cell_angle_beta 90.00
_cell_angle_gamma 90.00
_space_group_name_H-M_alt 'F m -3 m'
_space_group_IT_number 225
_space_group_name_Hall '-F 4 2 3'
loop_
_atom_site_label
_atom_site_type_symbol
_atom_site_fract_x
_atom_site_fract_y
_atom_site_fract_z
_atom_site_occupancy
Li1 Li 0.000 0.000 0.000 1
Pr1 Pr 0.250 0.250 0.250 1
Ga1 Ga 0.000 0.000 0.500 1
```

No. 4
The following is a DFT calculation (SCAN) of a crystal of LiGa2Pt relaxed with PBEsol.

Computed properties:
- energy of formation (eV per atom) = -0.743
- DOS at the Fermi energy (states/eV per atom) = 0.25
- volume (A^3/atom) = 14.05
- size of the total moment (μB per cell) = 0.000

Structure (CIF):
```
data_LiGa2Pt
_cell_length_a 6.080
_cell_length_b 6.080
_cell_length_c 6.080
_cell_angle_alpha 90.00
_cell_angle_beta 90.00
_cell_angle_gamma 90.00
_space_group_name_H-M_alt 'F m -3 m'
_space_group_IT_number 225
_space_group_name_Hall '-F 4 2 3'
loop_
_atom_site_label
_atom_site_type_symbol
_atom_site_fract_x
_atom_site_fract_y
_atom_site_fract_z
_atom_site_occupancy
Li1 Li 0.000 0.000 0.000 1
Ga1 Ga 0.250 0.250 0.250 1
Pt1 Pt 0.000 0.000 0.500 1
```

No. 5
The following is a DFT calculation (SCAN) of a crystal of RbLi3Ga relaxed with PBEsol.

Computed properties:
- energy of formation (eV per atom) = -0.005
- DOS at the Fermi energy (states/eV per atom) = 0.34
- volume (A^3/atom) = 28.54
- size of the total moment (μB per cell) = 0.989

Structure (CIF):
```
data_RbLi3Ga
_cell_length_a 5.225
_cell_length_b 5.225
_cell_length_c 5.225
_cell_angle_alpha 90.00
_cell_angle_beta 90.00
_cell_angle_gamma 90.00
_space_group_name_H-M_alt 'P m -3 m'
_space_group_IT_number 221
_space_group_name_Hall '-P 4 2 3'
loop_
_atom_site_label
_atom_site_type_symbol
_atom_site_fract_x
_atom_site_fract_y
_atom_site_fract_z
_atom_site_occupancy
Rb1 Rb 0.000 0.000 0.000 1
Li1 Li 0.000 0.500 0.500 1
Ga1 Ga 0.500 0.500 0.500 1
```

No. 6
The following is a DFT calculation (SCAN) of a crystal of LiTiGaRe2 relaxed with PBEsol.

Computed properties:
- energy of formation (eV per atom) = 0.988
- DOS at the Fermi energy (states/eV per atom) = 0.67
- volume (A^3/atom) = 14.09
- size of the total moment (μB per cell) = 0.000

Structure (CIF):
```
data_LiTiGaRe2
_cell_length_a 4.173
_cell_length_b 4.173
_cell_length_c 4.047
_cell_angle_alpha 90.00
_cell_angle_beta 90.00
_cell_angle_gamma 90.00
_space_group_name_H-M_alt 'P 4/m m m'
_space_group_IT_number 123
_space_group_name_Hall '-P 4 2'
loop_
_atom_site_label
_atom_site_type_symbol
_atom_site_fract_x
_atom_site_fract_y
_atom_site_fract_z
_atom_site_occupancy
Li1 Li 0.000 0.000 0.000 1
Ti1 Ti 0.000 0.000 0.500 1
Ga1 Ga 0.500 0.500 0.500 1
Re1 Re 0.000 0.500 0.000 1
```

No. 7
The following is a DFT calculation (SCAN) of a crystal of Li2GaRh relaxed with PBEsol.

Computed properties:
- energy of formation (eV per atom) = -0.549
- DOS at the Fermi energy (states/eV per atom) = 0.32
- volume (A^3/atom) = 12.93
- size of the total moment (μB per cell) = 0.001

Structure (CIF):
```
data_Li2GaRh
_cell_length_a 5.914
_cell_length_b 5.914
_cell_length_c 5.914
_cell_angle_alpha 90.00
_cell_angle_beta 90.00
_cell_angle_gamma 90.00
_space_group_name_H-M_alt 'F -4 3 m'
_space_group_IT_number 216
_space_group_name_Hall 'F -4 2 3'
loop_
_atom_site_label
_atom_site_type_symbol
_atom_site_fract_x
_atom_site_fract_y
_atom_site_fract_z
_atom_site_occupancy
Li1 Li 0.000 0.000 0.000 1
Li2 Li 0.250 0.250 0.250 1
Ga1 Ga 0.000 0.000 0.500 1
Rh1 Rh 0.250 0.250 0.750 1
```

No. 8
The following is a DFT calculation (SCAN) of a crystal of LiGa3Rh relaxed with PBEsol.

Computed properties:
- energy of formation (eV per atom) = 0.592
- DOS at the Fermi energy (states/eV per atom) = 0.83
- volume (A^3/atom) = 15.73
- size of the total moment (μB per cell) = 0.004

Structure (CIF):
```
data_LiGa3Rh
_cell_length_a 4.285
_cell_length_b 4.285
_cell_length_c 4.285
_cell_angle_alpha 90.00
_cell_angle_beta 90.00
_cell_angle_gamma 90.00
_space_group_name_H-M_alt 'P m -3 m'
_space_group_IT_number 221
_space_group_name_Hall '-P 4 2 3'
loop_
_atom_site_label
_atom_site_type_symbol
_atom_site_fract_x
_atom_site_fract_y
_atom_site_fract_z
_atom_site_occupancy
Li1 Li 0.000 0.000 0.000 1
Ga1 Ga 0.000 0.000 0.500 1
Rh1 Rh 0.500 0.500 0.500 1
```

No. 9
The following is a DFT calculation (SCAN) of a crystal of Li2GaRh relaxed with PBEsol.

Computed properties:
- energy of formation (eV per atom) = -0.280
- DOS at the Fermi energy (states/eV per atom) = 0.38
- volume (A^3/atom) = 14.46
- size of the total moment (μB per cell) = 0.000

Structure (CIF):
```
data_Li2GaRh
_cell_length_a 3.520
_cell_length_b 3.520
_cell_length_c 18.668
_cell_angle_alpha 90.00
_cell_angle_beta 90.00
_cell_angle_gamma 90.00
_space_group_name_H-M_alt 'I -4 2 d'
_space_group_IT_number 122
_space_group_name_Hall 'I -4 2bw'
loop_
_atom_site_label
_atom_site_type_symbol
_atom_site_fract_x
_atom_site_fract_y
_atom_site_fract_z
_atom_site_occupancy
Li1 Li 0.240 0.250 0.125 1
Ga1 Ga 0.000 0.000 0.500 1
Rh1 Rh 0.000 0.000 0.000 1
```

No. 10
The following is a DFT calculation (SCAN) of a crystal of LiGa2Rh2 relaxed with PBEsol.

Computed properties:
- energy of formation (eV per atom) = -0.670
- DOS at the Fermi energy (states/eV per atom) = 0.29
- volume (A^3/atom) = 14.42
- size of the total moment (μB per cell) = 0.000

Structure (CIF):
```
data_LiGa2Rh2
_cell_length_a 7.060
_cell_length_b 7.060
_cell_length_c 2.892
_cell_angle_alpha 90.00
_cell_angle_beta 90.00
_cell_angle_gamma 90.00
_space_group_name_H-M_alt 'P 4/m b m'
_space_group_IT_number 127
_space_group_name_Hall '-P 4 2ab'
loop_
_atom_site_label
_atom_site_type_symbol
_atom_site_fract_x
_atom_site_fract_y
_atom_site_fract_z
_atom_site_occupancy
Li1 Li 0.000 0.000 0.000 1
Ga1 Ga 0.152 0.348 0.500 1
Rh1 Rh 0.145 0.645 0.000 1
```

No. 11
The following is a DFT calculation (SCAN) of a crystal of Li2GaTeRh relaxed with PBEsol.

Computed properties:
- DOS at the Fermi energy (states/eV per atom) = 0.29
- volume (A^3/atom) = 19.06
- formation energy (no corrections) (kJ per mole of atoms) = -7.5
- size of the total moment (μB per cell) = 0.000

Structure (CIF):
```
data_Li2GaTeRh
_cell_length_a 4.583
_cell_length_b 4.583
_cell_length_c 4.538
_cell_angle_alpha 90.00
_cell_angle_beta 90.00
_cell_angle_gamma 90.00
_space_group_name_H-M_alt 'P 4/m m m'
_space_group_IT_number 123
_space_group_name_Hall '-P 4 2'
loop_
_atom_site_label
_atom_site_type_symbol
_atom_site_fract_x
_atom_site_fract_y
_atom_site_fract_z
_atom_site_occupancy
Li1 Li 0.000 0.500 0.000 1
Ga1 Ga 0.000 0.000 0.000 1
Te1 Te 0.500 0.500 0.500 1
Rh1 Rh 0.000 0.000 0.500 1
```

No. 12
The following is a DFT calculation (SCAN) of a crystal of LiGa2Ru2 relaxed with PBEsol.

Computed properties:
- energy of formation (eV per atom) = -0.272
- DOS at the Fermi energy (states/eV per atom) = 0.59
- volume (A^3/atom) = 14.02
- size of the total moment (μB per cell) = 0.003

Structure (CIF):
```
data_LiGa2Ru2
_cell_length_a 6.678
_cell_length_b 6.678
_cell_length_c 3.143
_cell_angle_alpha 90.00
_cell_angle_beta 90.00
_cell_angle_gamma 90.00
_space_group_name_H-M_alt 'P 4/m b m'
_space_group_IT_number 127
_space_group_name_Hall '-P 4 2ab'
loop_
_atom_site_label
_atom_site_type_symbol
_atom_site_fract_x
_atom_site_fract_y
_atom_site_fract_z
_atom_site_occupancy
Li1 Li 0.000 0.000 0.000 1
Ga1 Ga 0.140 0.360 0.000 1
Ru1 Ru 0.158 0.658 0.500 1
```